1.
Compound: FeIrRu
Source: the Alexandria database
Functional: GGA-PBE
Structure: relaxed

Output
Its size of the total moment is 3.7 Bohr magnetons per cell. The polymorph energy (0 for the lowest one) comes out at 0.2706 eV/atom. As for the symmetry: Fmm2, No. 42. As for the formation energy: 0.27 eV/atom. Its total energy is -25.778 eV per formula unit.

Cell: 7.008 6.768 2.672 Å, 83.90 73.82 22.28°
Element x y z (fractional)
Fe: 0.000 0.000 0.000
Ir: 0.663 0.663 0.337
Ru: 0.340 0.340 0.660

2.
Compound: FeIr4Ru
Source: the Alexandria database
Functional: GGA-PBE
Structure: relaxed

Output
Its size of the total moment is 2.1 Bohr magnetons per cell. The polymorph energy (0 for the lowest one) comes out at 0.0000 eV/atom. As for the symmetry: Pmmm, No. 47. As for the formation energy: -0.03 eV/atom. Its total energy is -53.340 eV per formula unit.

Cell: 2.720 3.811 8.115 Å, 90.00 90.00 90.00°
Element x y z (fractional)
Fe: 0.000 0.000 0.000
Ir: 0.000 0.000 0.331
Ir: 0.000 0.000 0.669
Ir: 0.500 0.500 0.162
Ir: 0.500 0.500 0.838
Ru: 0.500 0.500 0.500